No. 1
DFT (PBE-GGA) results for a relaxed IrPdCl2 crystal.

POSCAR file:
```
IrPdCl2
1.0
1.745 0.000 8.682
-0.873 1.511 8.682
-0.873 -1.511 8.682
Pd Ir Cl
1 1 2
direct
0.500 0.500 0.500
0.000 0.000 0.000
0.913 0.913 0.913
0.087 0.087 0.087
```

Output
uncorrected formation energy = 360 meV/atom
offset from the most stable computed form = 0 meV per atom
space-group type = No. 166
E = -16.3 eV for the cell shown

No. 2
DFT (PBE-GGA) results for a relaxed Sr2Tl5Pd3 crystal.

POSCAR file:
```
Sr2Tl5Pd3
1.0
6.373 0.000 0.000
3.186 9.118 0.459
3.186 1.860 8.939
Tl Sr Pd
10 4 6
direct
0.250 0.500 0.500
0.569 0.741 0.120
0.450 0.800 0.800
0.069 0.120 0.741
0.950 0.800 0.800
0.431 0.259 0.880
0.931 0.880 0.259
0.750 0.500 0.500
0.550 0.200 0.200
0.050 0.200 0.200
0.156 0.559 0.129
0.844 0.441 0.871
0.656 0.129 0.559
0.344 0.871 0.441
0.348 0.565 0.740
0.750 0.000 0.000
0.152 0.260 0.435
0.652 0.435 0.260
0.250 0.000 0.000
0.848 0.740 0.565
```

Output
offset from the most stable computed form = 22 meV per atom
ΔE_f = -0.356 eV per atom
space-group type = No. 72
E = -68.7 eV for the cell shown

No. 3
DFT (PBE-GGA) results for a relaxed K2Na5Hg4 crystal.

POSCAR file:
```
K2Na5Hg4
1.0
6.739 0.000 0.000
3.369 7.390 -0.620
3.369 1.270 7.291
Na Hg K
5 4 2
direct
0.751 0.816 0.182
0.251 0.816 0.182
0.000 0.500 0.500
0.749 0.184 0.818
0.249 0.184 0.818
0.247 0.097 0.409
0.753 0.903 0.591
0.755 0.586 0.904
0.245 0.414 0.096
0.294 0.707 0.705
0.706 0.293 0.295
```

Output
ΔE_f = -0.164 eV per atom
space-group type = No. 12
E = -11.8 eV for the cell shown

No. 4
DFT (PBE-GGA) results for a relaxed NbSiSeBr2 crystal.

POSCAR file:
```
NbSiSeBr2
1.0
-4.184 2.546 1.047
-1.823 -1.135 -4.525
-2.094 -4.222 1.903
Si Nb Br Se
1 1 2 1
direct
0.000 0.000 0.000
0.500 0.500 0.500
0.500 0.000 0.000
0.000 0.500 0.000
0.000 0.000 0.500
```

Output
uncorrected formation energy = 608 meV/atom
offset from the most stable computed form = 320 meV per atom
space-group type = No. 123
E = -19.3 eV for the cell shown

No. 5
DFT (PBE-GGA) results for a relaxed LaTbAgSn crystal.

POSCAR file:
```
LaTbAgSn
1.0
-4.448 -2.319 -1.973
0.253 -4.952 -2.113
-2.250 -4.155 2.594
Ag La Tb Sn
1 1 1 1
direct
0.500 0.500 0.500
0.750 0.750 0.750
0.250 0.250 0.250
0.000 0.000 0.000
```

Output
ΔE_f = -0.521 eV per atom
space-group type = No. 216
E = -18.5 eV for the cell shown

No. 6
DFT (PBE-GGA) results for a relaxed LiNdHo2Cd4 crystal.

POSCAR file:
```
LiNdHo2Cd4
1.0
-0.256 -4.746 2.098
1.452 -4.148 -2.772
8.514 -2.097 2.729
Li Nd Cd Ho
1 1 4 2
direct
0.500 0.500 0.500
0.000 0.000 0.000
0.384 0.384 0.847
0.873 0.873 0.382
0.127 0.127 0.618
0.616 0.616 0.153
0.753 0.753 0.740
0.247 0.247 0.260
```

Output
ΔE_f = -0.262 eV per atom
space-group type = No. 166
E = -21.6 eV for the cell shown

No. 7
DFT (PBE-GGA) results for a relaxed YMg3Ga2 crystal.

POSCAR file:
```
YMg3Ga2
1.0
-2.056 -0.732 -3.866
-3.785 -5.210 5.548
-2.237 8.217 -0.366
Y Mg Ga
2 6 4
direct
0.128 0.256 0.127
0.872 0.744 0.873
0.331 0.663 0.135
0.001 0.002 0.333
0.669 0.337 0.865
0.999 0.998 0.667
0.669 0.339 0.472
0.331 0.661 0.528
0.208 0.417 0.708
0.500 0.000 0.853
0.792 0.583 0.292
0.500 0.000 0.147
```

Output
ΔE_f = -0.308 eV per atom
space-group type = No. 12
E = -38.3 eV for the cell shown

No. 8
DFT (PBE-GGA) results for a relaxed KBa2Zr crystal.

POSCAR file:
```
KBa2Zr
1.0
0.000 4.570 4.570
4.570 0.000 4.570
4.570 4.570 0.000
Ba K Zr
2 1 1
direct
0.250 0.250 0.250
0.750 0.750 0.750
0.000 0.000 0.000
0.500 0.500 0.500
```

Output
offset from the most stable computed form = 243 meV per atom
ΔE_f = 0.699 eV per atom
space-group type = No. 225
E = -10.7 eV for the cell shown

No. 9
DFT (PBE-GGA) results for a relaxed BaAu2 crystal.

POSCAR file:
```
BaAu2
1.0
-2.989 2.989 4.945
2.989 -2.989 4.945
2.989 2.989 -4.945
Au Ba
4 2
direct
0.837 0.337 0.175
0.337 0.163 0.500
0.163 0.663 0.825
0.663 0.837 0.500
0.750 0.750 0.000
0.250 0.250 0.000
```

Output
ΔE_f = -0.484 eV per atom
space-group type = No. 140
E = -19.9 eV for the cell shown

No. 10
DFT (PBE-GGA) results for a relaxed CsAcP2Pt4 crystal.

POSCAR file:
```
CsAcP2Pt4
1.0
-3.586 0.647 2.056
-0.151 -4.056 1.014
5.931 2.192 9.653
Cs P Pt Ac
1 2 4 1
direct
0.000 0.000 0.500
0.500 0.500 0.295
0.500 0.500 0.705
0.000 0.500 0.796
0.500 0.000 0.204
0.500 0.000 0.796
0.000 0.500 0.204
0.000 0.000 0.000
```

Output
ΔE_f = -0.712 eV per atom
space-group type = No. 123
E = -45.6 eV for the cell shown

No. 11
DFT (PBE-GGA) results for a relaxed In2OsPb crystal.

POSCAR file:
```
In2OsPb
1.0
-3.277 -1.479 -3.164
-3.635 -3.117 -0.083
-4.816 3.605 1.358
In Os Pb
2 1 1
direct
0.018 0.018 0.941
0.482 0.482 0.559
0.750 0.750 0.750
0.250 0.250 0.250
```

Output
ΔE_f = 0.561 eV per atom
space-group type = No. 12
E = -18.2 eV for the cell shown

No. 12
DFT (PBE-GGA) results for a relaxed DyY4Tl crystal.

POSCAR file:
```
DyY4Tl
1.0
-3.353 -4.556 3.133
8.628 -2.279 -1.638
-0.726 6.237 5.397
Y Dy Tl
8 2 2
direct
0.245 0.287 0.379
0.634 0.093 0.379
0.788 0.408 0.244
0.366 0.907 0.621
0.043 0.164 0.756
0.212 0.592 0.756
0.957 0.836 0.244
0.755 0.713 0.621
0.658 0.408 0.817
0.342 0.592 0.183
0.750 0.000 0.000
0.250 0.000 0.000
```

Output
offset from the most stable computed form = 87 meV per atom
ΔE_f = -0.030 eV per atom
space-group type = No. 15
E = -66.0 eV for the cell shown

Question: Which formula does entry 5 have?
Answer: LaTbAgSn

Question: The highest E belongs to which entry?
Answer: KBa2Zr

What did the third record say?
DFT (PBE-GGA) results for a relaxed K2Na5Hg4 crystal.

POSCAR file:
```
K2Na5Hg4
1.0
6.739 0.000 0.000
3.369 7.390 -0.620
3.369 1.270 7.291
Na Hg K
5 4 2
direct
0.751 0.816 0.182
0.251 0.816 0.182
0.000 0.500 0.500
0.749 0.184 0.818
0.249 0.184 0.818
0.247 0.097 0.409
0.753 0.903 0.591
0.755 0.586 0.904
0.245 0.414 0.096
0.294 0.707 0.705
0.706 0.293 0.295
```

Output
ΔE_f = -0.164 eV per atom
space-group type = No. 12
E = -11.8 eV for the cell shown

Question: Number 10 is which compound?
Answer: CsAcP2Pt4